## Mn5Be24 (GGA-PBE)

Data for a geometry-optimized Mn5Be24 structure.

Computed properties:
The value obtained for the density of states at the Fermi level is 0.4945 states/eV per atom. The symmetry is I-43m, No. 217. The total magnetization comes out at 0.167 μB/atom. The value obtained for the formation energy from the elements is -0.1393 eV/atom. The value obtained for the mass density is 3.4 g/cm³.

a = 6.800 Å, b = 6.800 Å, c = 6.800 Å
α = 109.47°, β = 109.47°, γ = 109.47°
Element x y z (fractional)
Mn 0.000 0.000 0.000
Mn 0.000 0.000 0.373
Mn 0.000 0.373 0.000
Mn 0.373 0.000 0.000
Mn 0.627 0.627 0.627
Be 0.000 0.314 0.611
Be 0.000 0.611 0.314
Be 0.000 0.629 0.812
Be 0.000 0.812 0.629
Be 0.183 0.371 0.371
Be 0.188 0.188 0.817
Be 0.188 0.817 0.188
Be 0.297 0.686 0.686
Be 0.314 0.000 0.611
Be 0.314 0.611 0.000
Be 0.371 0.183 0.371
Be 0.371 0.371 0.183
Be 0.389 0.389 0.703
Be 0.389 0.703 0.389
Be 0.611 0.000 0.314
Be 0.611 0.314 0.000
Be 0.629 0.000 0.812
Be 0.629 0.812 0.000
Be 0.686 0.297 0.686
Be 0.686 0.686 0.297
Be 0.703 0.389 0.389
Be 0.812 0.000 0.629
Be 0.812 0.629 0.000
Be 0.817 0.188 0.188

***

## MnBe (GGA-PBE)

Data for a geometry-optimized MnBe structure.

Computed properties:
The value obtained for the density of states at the Fermi level is 0.8538 states/eV per atom. The symmetry is Pmmn, No. 59. The total magnetization comes out at 0.000 μB/atom. The value obtained for the formation energy from the elements is 0.0834 eV/atom. The value obtained for the mass density is 5.5 g/cm³.

a = 2.368 Å, b = 3.882 Å, c = 4.198 Å
α = 90.00°, β = 90.00°, γ = 90.00°
Element x y z (fractional)
Mn 0.250 0.250 0.083
Mn 0.750 0.750 0.917
Be 0.250 0.750 0.428
Be 0.750 0.250 0.572